[1]
LiMgSc2 PBE-GGA relaxed; volume = 90 Å³/cell; total DFT energy (no corrections) = -3.949 eV per atom; space group = Imm2, No. 44; energy of formation from the pure elements = 0.094 eV per atom
1.0
-4.471 2.434 3.169
-0.017 -0.851 5.936
2.858 2.232 -4.776
Li Sc Mg
1 2 1
Direct
0.487 0.487 0.000
0.736 0.236 0.500
0.006 0.006 0.000
0.272 0.772 0.500



[2]
HgSb2Se PBE-GGA relaxed; volume = 114 Å³/cell; total DFT energy (no corrections) = -2.976 eV per atom; energy relative to the lowest polymorph listed for this composition = 0.035 eV per atom; energy relative to the elements, uncorrected = 32 meV per atom; space group = P2/m, No. 10
1.0
-3.414 0.982 1.979
-2.477 -4.433 -2.073
0.947 -3.833 3.535
Se Hg Sb
1 1 2
Direct
0.500 0.250 0.250
0.500 0.750 0.750
0.000 0.523 0.463
0.000 0.977 0.037



[3]
Cd3BPd PBE-GGA relaxed; volume = 136 Å³/cell; total DFT energy (no corrections) = -1.921 eV per atom; energy relative to the lowest polymorph listed for this composition = 0.619 eV per atom; space group = Pm-3m, No. 221; energy of formation from the pure elements = 1.003 eV per atom
1.0
-1.781 -4.817 0.163
3.166 -1.038 3.912
-3.634 1.456 3.328
B Pd Cd
1 1 3
Direct
0.500 0.500 0.500
0.000 0.000 0.000
0.000 0.500 0.000
0.000 0.000 0.500
0.500 0.000 0.000



[4]
Sm8PtRh3Br4 PBE-GGA relaxed; volume = 451 Å³/cell; total DFT energy (no corrections) = -5.662 eV per atom; energy relative to the elements, uncorrected = -1128 meV per atom; space group = R-3m, No. 166
1.0
8.214 0.000 0.000
0.000 9.047 0.583
-4.107 -4.104 5.809
Rh Sm Br Pt
3 8 4 1
Direct
0.500 0.500 0.000
0.000 0.500 0.500
0.500 0.500 0.500
0.766 0.305 0.039
0.268 0.304 0.536
0.234 0.695 0.469
0.234 0.695 0.961
0.732 0.696 0.464
0.273 0.305 0.039
0.766 0.305 0.531
0.727 0.695 0.961
0.500 0.000 0.500
0.000 0.000 0.000
0.000 0.000 0.500
0.500 0.000 0.000
0.000 0.500 0.000



[5]
ZrTa2Ge PBE-GGA relaxed; volume = 163 Å³/cell; total DFT energy (no corrections) = -8.885 eV per atom; space group = I-42d, No. 122; energy of formation from the pure elements = 0.333 eV per atom
1.0
-1.812 0.032 7.606
5.430 -5.470 1.317
3.625 -0.814 4.886
Ta Ge Zr
4 2 2
Direct
0.375 0.423 0.750
0.875 0.827 0.750
0.577 0.125 0.250
0.173 0.625 0.250
0.500 0.500 0.000
0.250 0.750 0.500
0.750 0.250 0.500
0.000 0.000 0.000



[6]
KCd2GaPd PBE-GGA relaxed; volume = 138 Å³/cell; total DFT energy (no corrections) = -2.442 eV per atom; space group = P4/mmm, No. 123; energy of formation from the pure elements = -0.212 eV per atom
1.0
5.328 0.000 0.000
0.000 5.328 0.000
0.000 0.000 4.852
Ga Pd Cd K
1 1 2 1
Direct
0.000 0.000 0.500
0.000 0.000 0.000
0.500 0.000 0.000
0.000 0.500 0.000
0.500 0.500 0.500



[7]
KRbBaTl PBE-GGA relaxed; volume = 191 Å³/cell; total DFT energy (no corrections) = -1.571 eV per atom; space group = F-43m, No. 216; energy of formation from the pure elements = 0.017 eV per atom
1.0
-5.202 -3.000 2.379
-0.777 -6.344 -0.932
0.618 -4.092 4.959
K Ba Tl Rb
1 1 1 1
Direct
0.500 0.500 0.500
0.000 0.000 0.000
0.250 0.250 0.250
0.750 0.750 0.750



[8]
K2RbNaIn PBE-GGA relaxed; volume = 301 Å³/cell; total DFT energy (no corrections) = -1.382 eV per atom; energy relative to the lowest polymorph listed for this composition = 0.000 eV per atom; space group = P4/mmm, No. 123; energy of formation from the pure elements = 0.062 eV per atom
1.0
-0.781 -6.897 0.254
3.009 -0.570 -6.234
5.579 -0.531 2.741
Na K Rb In
1 2 1 1
Direct
0.000 0.000 0.500
0.000 0.500 0.000
0.500 0.000 0.000
0.500 0.500 0.500
0.000 0.000 0.000